--- A ---
Compound: NaSeIBr2
Source: Alexandria
Functional: PBE
Structure: relaxed

Results
- density of states at the Fermi level (states/eV per atom) = 0.75
- M_tot (μB/atom) = 0.000
- space group = P4/mmm
- crystal system = tetragonal

abc: 5.6450 5.6450 5.5550
angles: 90.00 90.00 90.00
Fractional positions:
I (0.0000, 0.0000, 0.5000)
Na (0.5000, 0.5000, 0.5000)
Se (0.0000, 0.0000, 0.0000)
Br (0.0000, 0.5000, 0.0000)
Br (0.5000, 0.0000, 0.0000)



--- B ---
Compound: NaSeIBr2
Source: Alexandria
Functional: PBE
Structure: relaxed

Results
- density of states at the Fermi level (states/eV per atom) = 1.55
- M_tot (μB/atom) = 0.224
- space group = P4/mmm
- crystal system = tetragonal

abc: 5.0228 5.0228 8.0041
angles: 90.00 90.00 90.00
Fractional positions:
I (0.5000, 0.5000, 0.5000)
Na (0.0000, 0.0000, 0.0000)
Se (0.0000, 0.0000, 0.5000)
Br (0.0000, 0.5000, 0.0000)
Br (0.5000, 0.0000, 0.0000)



What should be chosen as the most stable of them? Choose A.



--- A ---
Compound: NaSe2IBr
Source: Alexandria
Functional: PBE
Structure: relaxed

Results
- density of states at the Fermi level (states/eV per atom) = 1.76
- M_tot (μB/atom) = 0.713
- space group = P4/mmm
- crystal system = tetragonal

abc: 5.6648 5.6648 5.2490
angles: 90.00 90.00 90.00
Fractional positions:
I (0.5000, 0.5000, 0.5000)
Na (0.0000, 0.0000, 0.0000)
Se (0.0000, 0.5000, 0.0000)
Se (0.5000, 0.0000, 0.0000)
Br (0.0000, 0.0000, 0.5000)



--- B ---
Compound: NaSe2IBr
Source: Alexandria
Functional: PBE
Structure: relaxed

Results
- density of states at the Fermi level (states/eV per atom) = 0.71
- M_tot (μB/atom) = 0.000
- space group = P4/mmm
- crystal system = tetragonal

abc: 5.4458 5.4458 5.9307
angles: 90.00 90.00 90.00
Fractional positions:
I (0.0000, 0.0000, 0.0000)
Na (0.5000, 0.5000, 0.5000)
Se (0.0000, 0.5000, 0.0000)
Se (0.5000, 0.0000, 0.0000)
Br (0.0000, 0.0000, 0.5000)



What should be chosen as the most stable of them? Choose B.



--- A ---
Compound: NaSrIBr2
Source: Alexandria
Functional: PBE
Structure: relaxed

Results
- density of states at the Fermi level (states/eV per atom) = 0.00
- M_tot (μB/atom) = 0.000
- space group = P4/mmm
- crystal system = tetragonal

abc: 5.9250 6.5175 5.9250
angles: 90.00 90.00 90.00
Fractional positions:
I (0.0000, 0.5000, 0.0000)
Sr (0.0000, 0.0000, 0.0000)
Br (0.0000, 0.0000, 0.5000)
Br (0.5000, 0.0000, 0.0000)
Na (0.5000, 0.5000, 0.5000)



--- B ---
Compound: NaSrIBr2
Source: Alexandria
Functional: PBE
Structure: relaxed

Results
- density of states at the Fermi level (states/eV per atom) = 0.00
- M_tot (μB/atom) = 0.000
- space group = P2_1/m
- crystal system = monoclinic

abc: 5.0844 8.5160 11.7646
angles: 126.80 90.00 90.00
Fractional positions:
Na (0.2500, 0.7084, 0.5365)
Na (0.7500, 0.2916, 0.4635)
Sr (0.2500, 0.6633, 0.9269)
Sr (0.7500, 0.3367, 0.0731)
I (0.2500, 0.0152, 0.8655)
I (0.7500, 0.9848, 0.1345)
Br (0.7500, 0.5859, 0.4051)
Br (0.2500, 0.4141, 0.5949)
Br (0.7500, 0.3986, 0.8384)
Br (0.2500, 0.6014, 0.1616)



What should be chosen as the most stable of them? Choose B.



--- A ---
Compound: NbIBr2
Source: Alexandria
Functional: PBE
Structure: relaxed

Results
- density of states at the Fermi level (states/eV per atom) = 0.74
- M_tot (μB/atom) = 0.141
- space group = P1
- crystal system = triclinic

abc: 3.3754 3.3721 12.0439
angles: 88.85 91.06 117.48
Fractional positions:
Nb (0.0474, 0.9750, 0.5775)
I (0.7556, 0.3049, 0.1091)
Br (0.0580, 0.9621, 0.7772)
Br (0.3812, 0.6432, 0.4256)



--- B ---
Compound: NbIBr2
Source: Alexandria
Functional: PBE
Structure: relaxed

Results
- density of states at the Fermi level (states/eV per atom) = 1.14
- M_tot (μB/atom) = 0.500
- space group = Fm-3m
- crystal system = cubic

abc: 5.2307 5.2307 5.2307
angles: 60.00 60.00 60.00
Fractional positions:
I (0.5000, 0.5000, 0.5000)
Nb (0.0000, 0.0000, 0.0000)
Br (0.2500, 0.2500, 0.2500)
Br (0.7500, 0.7500, 0.7500)



What should be chosen as the most stable of them? Choose A.